[1]
Material: Tl2MoOs
Method: DFT, PBE
State: optimized geometry

Geometry as POSCAR:
```
Tl2MoOs
1.0
-2.6786 -1.9216 5.5202
-2.5240 -5.7861 1.2206
4.9270 3.7855 -1.6535
Tl Mo Os
2 1 1
Direct
0.7278 0.2278 0.5000
0.0167 0.0167 0.0000
0.4563 0.4563 0.0000
0.2992 0.7992 0.5000
```

[2]
Material: Ti2ReSn
Method: DFT, PBE
State: optimized geometry

Geometry as POSCAR:
```
Ti2ReSn
1.0
3.3321 0.0000 0.0000
0.0000 3.3321 0.0000
0.0000 0.0000 6.0924
Sn Ti Re
1 2 1
Direct
0.5000 0.5000 0.5000
0.0000 0.0000 0.7734
0.0000 0.0000 0.2266
0.5000 0.5000 0.0000
```

[3]
Material: HoErAsO2
Method: DFT, PBE
State: optimized geometry

Geometry as POSCAR:
```
HoErAsO2
1.0
3.7654 0.0000 0.0000
0.0000 3.7654 0.0000
-1.8827 -1.8827 6.3762
Ho O Er As
1 2 1 1
Direct
0.1606 0.1606 0.3212
0.2505 0.7505 0.5010
0.7505 0.2505 0.5010
0.8389 0.8389 0.6777
0.4996 0.4996 0.9992
```

[4]
Material: SrVSi2As
Method: DFT, PBE
State: optimized geometry

Geometry as POSCAR:
```
SrVSi2As
1.0
-3.1419 3.8151 -2.0428
-0.6255 -2.8982 -4.4506
-3.8769 -2.1510 1.9456
Si V Sr As
2 1 1 1
Direct
0.5000 0.0000 0.0000
0.0000 0.5000 0.0000
0.0000 0.0000 0.5000
0.0000 0.0000 0.0000
0.5000 0.5000 0.5000
```

[5]
Material: Sn3Hg5Br12
Method: DFT, PBE
State: optimized geometry

Geometry as POSCAR:
```
Sn3Hg5Br12
1.0
15.4304 0.0000 0.0000
-5.1435 14.5479 0.0000
-5.1435 -7.2740 12.5989
Hg Br Sn
20 48 12
Direct
0.8750 0.2500 0.6250
0.5000 0.5000 0.5000
0.0000 0.0000 0.0000
0.6250 0.7500 0.8750
0.3750 0.2500 0.1250
0.7500 0.6250 0.3750
0.0000 0.5000 0.5000
0.5000 0.0000 0.0000
0.8750 0.6250 0.7500
0.5000 0.0000 0.5000
0.5000 0.5000 0.0000
0.3750 0.1250 0.7500
0.1250 0.7500 0.3750
0.1250 0.3750 0.2500
0.2500 0.3750 0.6250
0.0000 0.5000 0.0000
0.7500 0.1250 0.8750
0.2500 0.8750 0.1250
0.6250 0.8750 0.2500
0.0000 0.0000 0.5000
0.1345 0.7333 0.5479
0.0865 0.1853 0.4521
0.0865 0.9012 0.1345
0.5479 0.2333 0.1345
0.8655 0.5988 0.9135
0.3147 0.7667 0.4012
0.3655 0.4135 0.0988
0.4521 0.6853 0.0865
0.0988 0.1853 0.2333
0.6345 0.5865 0.9012
0.6853 0.4521 0.5865
0.9135 0.8147 0.5479
0.5865 0.9521 0.6853
0.4521 0.7667 0.8655
0.9012 0.8147 0.7667
0.5988 0.7333 0.6853
0.2667 0.4012 0.8147
0.0479 0.6345 0.7333
0.5479 0.3147 0.9135
0.9135 0.0988 0.8655
0.2333 0.6853 0.0988
0.9521 0.5865 0.1853
0.2333 0.5479 0.6345
0.7667 0.4521 0.3655
0.3655 0.9521 0.7667
0.1853 0.0865 0.9521
0.9521 0.3655 0.2667
0.3147 0.5479 0.4135
0.7333 0.1345 0.0479
0.0988 0.9135 0.3655
0.4012 0.2667 0.3147
0.5988 0.8655 0.4135
0.8147 0.9012 0.2667
0.8655 0.2667 0.4521
0.4135 0.0479 0.3147
0.7667 0.3147 0.9012
0.6345 0.0479 0.2333
0.7333 0.5988 0.1853
0.5865 0.6345 0.4012
0.2667 0.8655 0.9521
0.6853 0.2333 0.5988
0.8147 0.9135 0.0479
0.1345 0.4012 0.0865
0.4012 0.1345 0.5865
0.0479 0.4135 0.8147
0.1853 0.0988 0.7333
0.9012 0.0865 0.6345
0.4135 0.3655 0.5988
0.3750 0.6250 0.2500
0.1250 0.2500 0.8750
0.7500 0.3750 0.1250
0.6250 0.2500 0.3750
0.2500 0.1250 0.3750
0.1250 0.8750 0.7500
0.2500 0.6250 0.8750
0.7500 0.8750 0.6250
0.8750 0.1250 0.2500
0.3750 0.7500 0.6250
0.6250 0.3750 0.7500
0.8750 0.7500 0.1250
```

[6]
Material: UCoRe
Method: DFT, PBE
State: optimized geometry

Geometry as POSCAR:
```
UCoRe
1.0
2.6758 0.0000 0.0000
0.0000 2.6758 0.0000
-1.3379 -1.3379 6.5068
Co U Re
1 1 1
Direct
0.3487 0.3487 0.6973
0.6745 0.6745 0.3490
0.9769 0.9769 0.9537
```

[7]
Material: NaCa3Np2N6
Method: DFT, PBE
State: optimized geometry

Geometry as POSCAR:
```
NaCa3Np2N6
1.0
-1.5109 1.3527 2.8989
-5.0373 -4.9363 -0.3222
5.9059 -3.7102 2.6506
N Ca Np Na
6 3 2 1
Direct
0.3174 0.4241 0.6347
0.0251 0.2795 0.0502
0.6826 0.5759 0.3653
0.9749 0.7205 0.9498
0.3275 0.8797 0.6550
0.6725 0.1203 0.3450
0.5000 0.5000 0.0000
0.8404 0.1571 0.6808
0.1596 0.8429 0.3192
0.1659 0.3239 0.3317
0.8341 0.6761 0.6683
0.5000 0.0000 0.0000
```

[8]
Material: YAl2Ir2
Method: DFT, PBE
State: optimized geometry

Geometry as POSCAR:
```
YAl2Ir2
1.0
4.2348 0.0000 0.0000
0.0000 4.2348 0.0000
0.0000 0.0000 10.1248
Ir Y Al
4 2 4
Direct
0.5000 0.5000 0.5000
0.0000 0.0000 0.5000
0.5000 0.0000 0.8662
0.0000 0.5000 0.1338
0.5000 0.0000 0.2640
0.0000 0.5000 0.7360
0.5000 0.0000 0.6237
0.5000 0.5000 0.0000
0.0000 0.0000 0.0000
0.0000 0.5000 0.3763
```

no.,E_tot (eV per formula unit)
1,-23.49
2,-33.50
3,-37.26
4,-15.41
5,-40.44
6,-30.46
7,-95.34
8,-36.18